Entry i
Here is a relaxed NaLuTeO crystal from OQMD. Energies are from GGA-PBE.

Computed properties:
- space-group type = P2_1/c, No. 14
- spin magnetization (μB/cell) = 0.00

Cell lengths 7.358, 7.382, 6.471 Å; angles 90.00, 99.57, 90.00 degrees
Element x y z (fractional)
Na 0.117 0.206 0.480
Na 0.117 0.294 0.980
Na 0.883 0.706 0.020
Na 0.883 0.794 0.520
Lu 0.471 0.623 0.783
Lu 0.471 0.877 0.283
Lu 0.529 0.123 0.717
Lu 0.529 0.377 0.217
Te 0.203 0.582 0.353
Te 0.203 0.918 0.853
Te 0.797 0.082 0.147
Te 0.797 0.418 0.647
O 0.415 0.151 0.391
O 0.415 0.349 0.891
O 0.585 0.651 0.109
O 0.585 0.849 0.609

Entry ii
Here is a relaxed NaLuTeO crystal from OQMD. Energies are from GGA-PBE.

Computed properties:
- space-group type = Pmc2_1, No. 26
- spin magnetization (μB/cell) = 0.00

Cell lengths 4.476, 7.750, 6.397 Å; angles 90.00, 90.00, 90.00 degrees
Element x y z (fractional)
Na 0.000 0.226 0.000
Na 0.000 0.774 0.500
Lu 0.500 0.388 0.381
Lu 0.500 0.612 0.881
Te 0.000 0.183 0.521
Te 0.000 0.817 0.021
O 0.500 0.393 0.060
O 0.500 0.607 0.560

Entry iii
Here is a relaxed NaLuTeO crystal from OQMD. Energies are from GGA-PBE.

Computed properties:
- space-group type = P4/nmm, No. 129
- spin magnetization (μB/cell) = 0.00

Cell lengths 4.042, 4.042, 10.080 Å; angles 90.00, 90.00, 90.00 degrees
Element x y z (fractional)
Na 0.250 0.750 0.000
Na 0.750 0.250 0.000
Lu 0.250 0.250 0.404
Lu 0.750 0.750 0.596
Te 0.250 0.250 0.780
Te 0.750 0.750 0.220
O 0.250 0.750 0.500
O 0.750 0.250 0.500

It comes down to entry i, which is 0.047 eV/atom more stable than the next structure.

Entry i
Here is a relaxed NaLuTeOs crystal from OQMD. Energies are from GGA-PBE.

Computed properties:
- space-group type = F-43m, No. 216
- spin magnetization (μB/cell) = 0.02

Cell lengths 4.918, 4.918, 4.918 Å; angles 60.00, 60.00, 60.00 degrees
Element x y z (fractional)
Na 0.000 0.000 0.000
Lu 0.500 0.500 0.500
Te 0.250 0.250 0.250
Os 0.750 0.750 0.750

Entry ii
Here is a relaxed NaLuTeOs crystal from OQMD. Energies are from GGA-PBE.

Computed properties:
- space-group type = F-43m, No. 216
- spin magnetization (μB/cell) = 0.00

Cell lengths 4.778, 4.778, 4.778 Å; angles 60.00, 60.00, 60.00 degrees
Element x y z (fractional)
Na 0.000 0.000 0.000
Lu 0.750 0.750 0.750
Te 0.250 0.250 0.250
Os 0.500 0.500 0.500

It comes down to entry ii, which is 0.200 eV/atom more stable than the next structure.

Entry i
Here is a relaxed NaLuPdPb crystal from OQMD. Energies are from GGA-PBE.

Computed properties:
- space-group type = F-43m, No. 216
- spin magnetization (μB/cell) = 0.00

Cell lengths 4.917, 4.917, 4.917 Å; angles 60.00, 60.00, 60.00 degrees
Element x y z (fractional)
Na 0.000 0.000 0.000
Lu 0.750 0.750 0.750
Pd 0.500 0.500 0.500
Pb 0.250 0.250 0.250

Entry ii
Here is a relaxed NaLuPdPb crystal from OQMD. Energies are from GGA-PBE.

Computed properties:
- space-group type = F-43m, No. 216
- spin magnetization (μB/cell) = 0.00

Cell lengths 5.042, 5.042, 5.042 Å; angles 60.00, 60.00, 60.00 degrees
Element x y z (fractional)
Na 0.000 0.000 0.000
Lu 0.500 0.500 0.500
Pd 0.750 0.750 0.750
Pb 0.250 0.250 0.250

It comes down to entry i, which is 0.061 eV/atom more stable than the next structure.